1.
First-principles (PBE-GGA) data for a geometry-optimized La4ZrPa3N8 structure, as listed in Alexandria.

Output
* E_form (uncorrected): -1572 meV per atom

The structure in POSCAR format:
```
La4ZrPa3N8
1.0
3.544 2.046 5.958
-3.544 2.046 5.958
0.000 -4.093 5.958
La Zr Pa N
4 1 3 8
Cartesian
0.000 0.000 0.000
-1.772 -1.023 5.958
-1.772 1.023 11.917
0.000 2.046 5.958
0.000 0.000 8.938
-3.544 0.000 8.938
-1.772 1.023 2.979
1.772 1.023 2.979
0.000 0.000 4.178
-1.757 -1.015 10.131
0.000 -2.029 7.745
-1.757 1.015 7.745
1.757 -1.015 10.131
0.000 2.029 10.131
1.757 1.015 7.745
0.000 0.000 13.697
```

2.
First-principles (PBE-GGA) data for a geometry-optimized AlV2Br structure, as listed in Alexandria.

Output
* E_form (uncorrected): 603 meV per atom
* relative energy among the computed polymorphs: 0 meV/atom

The structure in POSCAR format:
```
AlV2Br
1.0
0.000 3.149 3.149
3.149 0.000 3.149
3.149 3.149 0.000
Al V Br
1 2 1
Cartesian
0.000 0.000 0.000
1.575 1.575 1.575
4.724 4.724 4.724
3.149 3.149 3.149
```

3.
First-principles (PBE-GGA) data for a geometry-optimized CeTaGa2 structure, as listed in Alexandria.

Output
* formation energy from the elements: -0.150 eV/atom
* relative energy among the computed polymorphs: 70 meV/atom

The structure in POSCAR format:
```
CeTaGa2
1.0
1.505 0.869 9.877
-1.505 0.869 9.877
0.000 -1.738 9.877
Ce Ta Ga
1 1 2
Cartesian
0.000 0.000 0.000
0.000 0.000 14.816
0.000 0.000 7.192
0.000 0.000 22.440
```

4.
First-principles (PBE-GGA) data for a geometry-optimized La10Ga5Br4 structure, as listed in Alexandria.

Output
* E_form (uncorrected): -938 meV per atom

The structure in POSCAR format:
```
La10Ga5Br4
1.0
-4.105 4.105 16.391
4.105 -4.105 16.391
4.105 4.105 -16.391
La Ga Br
20 10 8
Cartesian
2.732 -1.372 6.668
5.505 1.401 -2.428
5.477 -1.372 9.722
0.000 0.000 5.077
5.505 1.401 2.428
1.401 2.704 -2.428
0.000 0.000 11.314
5.477 1.372 6.668
1.401 2.704 2.428
2.732 1.372 9.722
1.372 2.732 6.668
2.704 1.401 13.963
-1.372 2.732 9.722
0.000 0.000 21.468
2.704 1.401 18.818
-1.401 2.704 13.963
0.000 0.000 27.704
-1.372 5.477 6.668
-1.401 2.704 18.818
1.372 5.477 9.722
5.114 -1.009 4.437
3.095 -1.009 11.954
0.000 0.000 8.195
3.095 1.009 4.437
5.114 1.009 11.954
-1.009 3.095 4.437
1.009 3.095 11.954
0.000 0.000 24.586
1.009 5.114 4.437
-1.009 5.114 11.954
0.000 0.000 1.881
2.916 1.188 0.000
2.916 -1.188 16.391
0.000 0.000 14.510
0.000 0.000 18.272
1.188 5.293 0.000
1.188 2.916 16.391
0.000 0.000 30.900
```

5.
First-principles (PBE-GGA) data for a geometry-optimized Rb3NaHg12 structure, as listed in Alexandria.

Output
* formation energy from the elements: -0.180 eV/atom

The structure in POSCAR format:
```
Rb3NaHg12
1.0
5.089 0.000 0.000
0.000 5.089 0.000
0.000 0.000 19.945
Rb Na Hg
3 1 12
Cartesian
0.000 0.000 0.000
0.000 0.000 5.219
0.000 0.000 14.727
0.000 0.000 9.973
0.000 2.544 2.602
0.000 2.544 7.841
0.000 2.544 12.105
0.000 2.544 17.343
2.544 0.000 2.602
2.544 0.000 7.841
2.544 0.000 12.105
2.544 0.000 17.343
2.544 2.544 0.000
2.544 2.544 5.390
2.544 2.544 9.973
2.544 2.544 14.555
```

6.
First-principles (PBE-GGA) data for a geometry-optimized CaTc2W structure, as listed in Alexandria.

Output
* formation energy from the elements: 0.709 eV/atom
* relative energy among the computed polymorphs: 409 meV/atom

The structure in POSCAR format:
```
CaTc2W
1.0
3.239 -3.958 0.000
3.239 3.958 0.000
0.000 0.000 2.692
Ca Tc W
1 2 1
Cartesian
0.000 0.000 0.000
1.620 1.979 1.346
1.620 -1.979 1.346
3.239 0.000 0.000
```

7.
First-principles (PBE-GGA) data for a geometry-optimized Y2FePdRu structure, as listed in Alexandria.

Output
* formation energy from the elements: 0.171 eV/atom

The structure in POSCAR format:
```
Y2FePdRu
1.0
5.121 0.000 0.000
0.000 5.121 0.000
0.000 0.000 4.250
Y Fe Pd Ru
2 1 1 1
Cartesian
0.000 2.561 0.000
2.561 0.000 0.000
0.000 0.000 0.000
2.561 2.561 2.125
0.000 0.000 2.125
```

8.
First-principles (PBE-GGA) data for a geometry-optimized TlCuHg2 structure, as listed in Alexandria.

Output
* formation energy from the elements: 0.264 eV/atom

The structure in POSCAR format:
```
TlCuHg2
1.0
2.950 -5.665 0.000
2.950 5.665 0.000
-2.484 0.000 2.932
Tl Cu Hg
1 1 2
Cartesian
0.000 0.000 0.000
2.950 0.000 0.000
0.233 2.833 1.466
0.233 -2.833 1.466
```

9.
First-principles (PBE-GGA) data for a geometry-optimized NbTl3Ni2Se6 structure, as listed in Alexandria.

Output
* E_form (uncorrected): -329 meV per atom

The structure in POSCAR format:
```
NbTl3Ni2Se6
1.0
3.210 -5.558 0.000
3.210 5.558 0.000
-2.095 0.000 7.886
Nb Tl Ni Se
1 3 2 6
Cartesian
0.000 0.000 0.000
2.162 3.752 3.943
2.162 0.000 3.943
2.162 -3.752 3.943
3.210 1.854 0.000
3.210 -1.854 0.000
1.125 1.951 1.366
0.157 0.000 6.543
1.125 -1.951 1.366
3.200 1.951 6.520
4.167 0.000 1.342
3.200 -1.951 6.520
```

10.
First-principles (PBE-GGA) data for a geometry-optimized Mg2PdPt4 structure, as listed in Alexandria.

Output
* formation energy from the elements: -0.470 eV/atom
* relative energy among the computed polymorphs: 0 meV/atom

The structure in POSCAR format:
```
Mg2PdPt4
1.0
6.594 0.000 0.000
0.000 12.195 0.000
0.000 0.000 2.859
Mg Pd Pt
4 2 8
Cartesian
1.298 1.318 0.000
1.999 7.415 0.000
4.595 4.780 0.000
5.296 10.878 0.000
0.000 6.098 1.429
3.297 0.000 1.429
0.060 8.916 1.429
1.427 10.794 0.000
1.870 4.696 0.000
3.236 2.818 1.429
3.357 9.377 1.429
4.724 7.499 0.000
5.166 1.402 0.000
6.533 3.279 1.429
```

11.
First-principles (PBE-GGA) data for a geometry-optimized Ga4F5 structure, as listed in Alexandria.

Output
* E_form (uncorrected): -1506 meV per atom

The structure in POSCAR format:
```
Ga4F5
1.0
-3.861 3.861 2.855
3.861 -3.861 2.855
3.861 3.861 -2.855
Ga F
4 5
Cartesian
2.474 0.000 0.000
5.249 0.000 0.000
0.000 2.474 0.000
0.000 5.249 0.000
0.000 0.000 0.000
1.951 1.951 0.000
1.910 -1.910 2.855
-1.910 1.910 2.855
1.910 1.910 2.855
```

12.
First-principles (PBE-GGA) data for a geometry-optimized Nd2Y6Tl structure, as listed in Alexandria.

Output
* formation energy from the elements: -0.004 eV/atom

The structure in POSCAR format:
```
Nd2Y6Tl
1.0
-1.770 5.115 8.050
1.770 -5.115 8.050
1.770 5.115 -8.050
Nd Y Tl
2 6 1
Cartesian
0.000 0.000 2.453
0.000 0.000 13.646
1.770 -1.660 5.206
1.770 2.055 0.000
1.770 1.660 5.206
0.000 3.455 2.844
0.000 3.060 8.050
0.000 6.775 2.844
0.000 5.115 0.000
```

What are the DFT total energy values for these records? In order: -9.28, -5.31, -6.11, -4.68, -0.67, -8.21, -7.00, -1.50, -4.47, -5.12, -3.89, -5.64 eV/atom.
What are the density of states at the Fermi level values for these records? In order: 8.25, 3.26, 4.32, 12.35, 7.30, 4.34, 3.91, 1.31, 8.52, 4.45, 2.91, 10.79 states/eV/f.u..
What are the calculated volume values for these records? In order: 259.3, 62.5, 77.5, 552.3, 516.5, 69.0, 111.5, 98.0, 281.4, 114.9, 170.3, 291.6 Å³/f.u..